The following is a GGA-PBE calculation of BiTe2Se2 after structural relaxation, from Alexandria.

Cell and atoms, written as CIF:
```
data_BiTe2Se2
_cell_length_a 8.275
_cell_length_b 8.275
_cell_length_c 3.996
_cell_angle_alpha 90.00
_cell_angle_beta 90.00
_cell_angle_gamma 90.00
_space_group_name_H-M_alt 'P 4/m b m'
_space_group_IT_number 127
_space_group_name_Hall '-P 4 2ab'
loop_
_atom_site_label
_atom_site_fract_x
_atom_site_fract_y
_atom_site_fract_z
_atom_site_occupancy
Bi1 0.000 0.000 0.000 1
Te1 0.147 0.353 0.500 1
Se1 0.170 0.670 0.000 1
```

The value obtained for the density of states at the Fermi level is 0.75 states/eV/atom. The value obtained for the uncorrected formation energy is 0.213 eV per atom. The crystal system is tetragonal. The offset from the most stable computed form comes out at 0.26 eV/f.u. As for the total energy: -3.214 eV per atom.

The following is a GGA-PBE calculation of Bi3TeSe after structural relaxation, from Alexandria.

Cell and atoms, written as CIF:
```
data_Bi3TeSe
_cell_length_a 5.605
_cell_length_b 5.605
_cell_length_c 5.605
_cell_angle_alpha 90.00
_cell_angle_beta 90.00
_cell_angle_gamma 90.00
_space_group_name_H-M_alt 'P m -3 m'
_space_group_IT_number 221
_space_group_name_Hall '-P 4 2 3'
loop_
_atom_site_label
_atom_site_fract_x
_atom_site_fract_y
_atom_site_fract_z
_atom_site_occupancy
Bi1 0.000 0.000 0.500 1
Te1 0.500 0.500 0.500 1
Se1 0.000 0.000 0.000 1
```

The value obtained for the density of states at the Fermi level is 1.19 states/eV/atom. The value obtained for the uncorrected formation energy is 0.518 eV per atom. The crystal system is cubic. The offset from the most stable computed form comes out at 0.00 eV/f.u. As for the total energy: -3.136 eV per atom.

The following is a GGA-PBE calculation of BiTeSe3 after structural relaxation, from Alexandria.

Cell and atoms, written as CIF:
```
data_BiTeSe3
_cell_length_a 5.321
_cell_length_b 5.321
_cell_length_c 5.321
_cell_angle_alpha 90.00
_cell_angle_beta 90.00
_cell_angle_gamma 90.00
_space_group_name_H-M_alt 'P m -3 m'
_space_group_IT_number 221
_space_group_name_Hall '-P 4 2 3'
loop_
_atom_site_label
_atom_site_fract_x
_atom_site_fract_y
_atom_site_fract_z
_atom_site_occupancy
Bi1 0.000 0.000 0.000 1
Te1 0.500 0.500 0.500 1
Se1 0.000 0.500 0.500 1
```

The value obtained for the density of states at the Fermi level is 1.00 states/eV/atom. The value obtained for the uncorrected formation energy is 0.407 eV per atom. The crystal system is cubic. The offset from the most stable computed form comes out at 2.61 eV/f.u. As for the total energy: -3.088 eV per atom.

The following is a GGA-PBE calculation of BiTe3Se after structural relaxation, from Alexandria.

Cell and atoms, written as CIF:
```
data_BiTe3Se
_cell_length_a 5.463
_cell_length_b 5.463
_cell_length_c 5.463
_cell_angle_alpha 90.00
_cell_angle_beta 90.00
_cell_angle_gamma 90.00
_space_group_name_H-M_alt 'P m -3 m'
_space_group_IT_number 221
_space_group_name_Hall '-P 4 2 3'
loop_
_atom_site_label
_atom_site_fract_x
_atom_site_fract_y
_atom_site_fract_z
_atom_site_occupancy
Bi1 0.000 0.000 0.000 1
Te1 0.000 0.500 0.500 1
Se1 0.500 0.500 0.500 1
```

The value obtained for the density of states at the Fermi level is 0.98 states/eV/atom. The value obtained for the uncorrected formation energy is 0.432 eV per atom. The crystal system is cubic. The offset from the most stable computed form comes out at 0.00 eV/f.u. As for the total energy: -2.927 eV per atom.

The following is a GGA-PBE calculation of Bi2TeSe6 after structural relaxation, from Alexandria.

Cell and atoms, written as CIF:
```
data_Bi2TeSe6
_cell_length_a 6.588
_cell_length_b 6.588
_cell_length_c 13.299
_cell_angle_alpha 90.00
_cell_angle_beta 90.00
_cell_angle_gamma 90.00
_space_group_name_H-M_alt 'P 42/m n m'
_space_group_IT_number 136
_space_group_name_Hall '-P 4n 2n'
loop_
_atom_site_label
_atom_site_fract_x
_atom_site_fract_y
_atom_site_fract_z
_atom_site_occupancy
Bi1 0.000 0.000 0.167 1
Te1 0.000 0.000 0.500 1
Se1 0.189 0.189 0.339 1
Se2 0.202 0.202 0.000 1
```

The value obtained for the density of states at the Fermi level is 0.96 states/eV/atom. The value obtained for the uncorrected formation energy is 0.057 eV per atom. The crystal system is tetragonal. As for the total energy: -3.477 eV per atom.

The following is a GGA-PBE calculation of Bi3TeSe after structural relaxation, from Alexandria.

Cell and atoms, written as CIF:
```
data_Bi3TeSe
_cell_length_a 5.841
_cell_length_b 5.841
_cell_length_c 5.841
_cell_angle_alpha 90.00
_cell_angle_beta 90.00
_cell_angle_gamma 90.00
_space_group_name_H-M_alt 'P m -3 m'
_space_group_IT_number 221
_space_group_name_Hall '-P 4 2 3'
loop_
_atom_site_label
_atom_site_fract_x
_atom_site_fract_y
_atom_site_fract_z
_atom_site_occupancy
Bi1 0.000 0.000 0.500 1
Te1 0.000 0.000 0.000 1
Se1 0.500 0.500 0.500 1
```

The value obtained for the density of states at the Fermi level is 2.12 states/eV/atom. The value obtained for the uncorrected formation energy is 0.871 eV per atom. The crystal system is cubic. The offset from the most stable computed form comes out at 1.77 eV/f.u. As for the total energy: -2.782 eV per atom.